[1]
# CaHfW3 (PBE-GGA, relaxed)
data_CaHfW3
_cell_length_a 4.908
_cell_length_b 4.908
_cell_length_c 4.908
_cell_angle_alpha 90.00
_cell_angle_beta 90.00
_cell_angle_gamma 90.00
_symmetry_space_group_name_H-M 'P 1'
_symmetry_Int_Tables_number 1
_symmetry_space_group_name_Hall 'P 1'
loop_
_atom_site_label
_atom_site_fract_x
_atom_site_fract_y
_atom_site_fract_z
Ca1 0.500 0.500 0.500
W1 0.000 0.500 0.000
W2 0.000 0.000 0.500
W3 0.500 0.000 0.000
Hf1 0.000 0.000 0.000
# E_form = 2038 meV/atom
# SG = Pm-3m
# V = 23.64 Å³ per atom
# ΔE to the lowest computed polymorph = 0.000 eV/atom

[2]
# CaYHf2 (PBE-GGA, relaxed)
data_CaYHf2
_cell_length_a 8.503
_cell_length_b 8.503
_cell_length_c 6.764
_cell_angle_alpha 51.05
_cell_angle_beta 51.05
_cell_angle_gamma 90.00
_symmetry_space_group_name_H-M 'P 1'
_symmetry_Int_Tables_number 1
_symmetry_space_group_name_Hall 'P 1'
loop_
_atom_site_label
_atom_site_fract_x
_atom_site_fract_y
_atom_site_fract_z
Hf1 0.624 0.125 0.250
Hf2 0.375 0.376 0.750
Hf3 0.126 0.625 0.250
Hf4 0.875 0.874 0.750
Y1 0.750 0.250 0.500
Y2 0.000 0.000 0.000
Ca1 0.250 0.750 0.500
Ca2 0.500 0.500 0.000
# E_form = 883 meV/atom
# SG = I-42d
# V = 28.00 Å³ per atom
# ΔE to the lowest computed polymorph = 0.287 eV/atom

> What is the ΔE to the lowest computed polymorph in the second record?

0.287 eV/atom

Repeat the second record exactly.
# CaYHf2 (PBE-GGA, relaxed)
data_CaYHf2
_cell_length_a 8.503
_cell_length_b 8.503
_cell_length_c 6.764
_cell_angle_alpha 51.05
_cell_angle_beta 51.05
_cell_angle_gamma 90.00
_symmetry_space_group_name_H-M 'P 1'
_symmetry_Int_Tables_number 1
_symmetry_space_group_name_Hall 'P 1'
loop_
_atom_site_label
_atom_site_fract_x
_atom_site_fract_y
_atom_site_fract_z
Hf1 0.624 0.125 0.250
Hf2 0.375 0.376 0.750
Hf3 0.126 0.625 0.250
Hf4 0.875 0.874 0.750
Y1 0.750 0.250 0.500
Y2 0.000 0.000 0.000
Ca1 0.250 0.750 0.500
Ca2 0.500 0.500 0.000
# E_form = 883 meV/atom
# SG = I-42d
# V = 28.00 Å³ per atom
# ΔE to the lowest computed polymorph = 0.287 eV/atom

> Among the records above, which one has the lowest E_form?

CaYHf2